# 1
The following is a GGA-PBE calculation of a relaxed Nb3POs crystal, from the Alexandria database.

spin magnetization = 0.00 μB/f.u.
energy relative to the elements = 1.18 eV/atom
polymorph energy (0 for the lowest one) = 705 meV/atom

Cell: 4.852 4.852 4.852 Å, 90.00 90.00 90.00°
Space group Pm-3m (No. 221)
Symmetry-distinct sites (fractional):
1 Nb 0.000 0.000 0.500
2 P 0.500 0.500 0.500
3 Os 0.000 0.000 0.000

# 2
The following is a GGA-PBE calculation of a relaxed NbPOs2Rh crystal, from the Alexandria database.

spin magnetization = 0.00 μB/f.u.
energy relative to the elements = 0.52 eV/atom

Cell: 4.359 4.359 4.348 Å, 90.00 90.00 90.00°
Space group P4/mmm (No. 123)
Symmetry-distinct sites (fractional):
1 Nb 0.000 0.000 0.000
2 P 0.500 0.500 0.500
3 Os 0.000 0.500 0.500
4 Rh 0.500 0.500 0.000

# 3
The following is a GGA-PBE calculation of a relaxed NbPOsS2 crystal, from the Alexandria database.

spin magnetization = 0.00 μB/f.u.
raw formation energy = 0.874 eV per atom
polymorph energy (0 for the lowest one) = 0 meV/atom

Cell: 4.585 4.585 4.519 Å, 90.00 90.00 90.00°
Space group P4/mmm (No. 123)
Symmetry-distinct sites (fractional):
1 Nb 0.000 0.000 0.000
2 P 0.500 0.500 0.000
3 Os 0.500 0.500 0.500
4 S 0.000 0.500 0.500

# 4
The following is a GGA-PBE calculation of a relaxed NbPOsS2 crystal, from the Alexandria database.

spin magnetization = 3.94 μB/f.u.
raw formation energy = 1.090 eV per atom
polymorph energy (0 for the lowest one) = 217 meV/atom

Cell: 4.676 4.676 5.006 Å, 90.00 90.00 90.00°
Space group P4/mmm (No. 123)
Symmetry-distinct sites (fractional):
1 Nb 0.000 0.000 0.000
2 P 0.000 0.000 0.500
3 Os 0.500 0.500 0.500
4 S 0.000 0.500 0.000

# 5
The following is a GGA-PBE calculation of a relaxed NbSb2POs crystal, from the Alexandria database.

spin magnetization = 0.00 μB/f.u.
raw formation energy = 1.289 eV per atom

Cell: 4.948 4.948 4.520 Å, 90.00 90.00 90.00°
Space group P4/mmm (No. 123)
Symmetry-distinct sites (fractional):
1 Nb 0.000 0.000 0.000
2 Sb 0.000 0.500 0.500
3 P 0.000 0.000 0.500
4 Os 0.500 0.500 0.000

# 6
The following is a GGA-PBE calculation of a relaxed PaNbOs4 crystal, from the Alexandria database.

spin magnetization = 0.00 μB/f.u.
energy relative to the elements = -0.06 eV/atom

Cell: 7.472 7.472 7.472 Å, 90.00 90.00 90.00°
Space group F-43m (No. 216)
Symmetry-distinct sites (fractional):
1 Pa 0.000 0.000 0.000
2 Nb 0.250 0.250 0.250
3 Os 0.125 0.125 0.625

# 7
The following is a GGA-PBE calculation of a relaxed PaNbOs crystal, from the Alexandria database.

spin magnetization = 0.00 μB/f.u.
energy relative to the elements = 0.05 eV/atom
polymorph energy (0 for the lowest one) = 2 meV/atom

Cell: 3.551 3.551 9.211 Å, 90.00 90.00 90.00°
Space group I4mm (No. 107)
Symmetry-distinct sites (fractional):
1 Pa 0.000 0.000 0.000
2 Nb 0.000 0.000 0.688
3 Os 0.000 0.000 0.355

# 8
The following is a GGA-PBE calculation of a relaxed PaNbOs crystal, from the Alexandria database.

spin magnetization = 0.00 μB/f.u.
energy relative to the elements = 0.05 eV/atom
polymorph energy (0 for the lowest one) = 0 meV/atom

Cell: 4.6512 4.6512 2.9730 Å, 90.00 90.00 120.00°
Space group P3m1 (No. 156)
Symmetry-distinct sites (fractional):
1 Pa 0.0000 0.0000 0.0000
2 Nb 0.3333 0.6667 0.7278
3 Os 0.6667 0.3333 0.3089

# 9
The following is a GGA-PBE calculation of a relaxed PaNbOs crystal, from the Alexandria database.

spin magnetization = 0.00 μB/f.u.
energy relative to the elements = 0.17 eV/atom
polymorph energy (0 for the lowest one) = 117 meV/atom

Cell: 4.552 4.566 6.457 Å, 90.00 90.00 90.00°
Space group Pmmn (No. 59, origin choice 2)
Symmetry-distinct sites (fractional):
1 Pa 0.250 0.250 0.000
2 Nb 0.250 0.250 0.499
3 Os 0.250 0.750 0.281

# 10
The following is a GGA-PBE calculation of a relaxed PaNbSi2Os5 crystal, from the Alexandria database.

spin magnetization = 0.00 μB/f.u.
raw formation energy = -0.101 eV per atom

Cell: 4.076 4.076 8.761 Å, 90.00 90.00 90.00°
Space group P4/mmm (No. 123)
Symmetry-distinct sites (fractional):
1 Pa 0.000 0.000 0.000
2 Nb 0.000 0.000 0.500
3 Si 0.500 0.500 0.372
4 Os 0.000 0.500 0.237
5 Os 0.500 0.500 0.000

# 11
The following is a GGA-PBE calculation of a relaxed PaTaNbOs crystal, from the Alexandria database.

spin magnetization = 0.00 μB/f.u.
energy relative to the elements = -0.12 eV/atom

Cell: 6.704 6.704 6.704 Å, 90.00 90.00 90.00°
Space group F-43m (No. 216)
Symmetry-distinct sites (fractional):
1 Pa 0.000 0.000 0.000
2 Ta 0.000 0.000 0.500
3 Nb 0.250 0.250 0.750
4 Os 0.250 0.250 0.250

# 12
The following is a GGA-PBE calculation of a relaxed UPaNbOs crystal, from the Alexandria database.

spin magnetization = 1.13 μB/f.u.
energy relative to the elements = 0.05 eV/atom

Cell: 6.762 6.762 6.762 Å, 90.00 90.00 90.00°
Space group F-43m (No. 216)
Symmetry-distinct sites (fractional):
1 U 0.000 0.000 0.000
2 Pa 0.250 0.250 0.250
3 Nb 0.250 0.250 0.750
4 Os 0.000 0.000 0.500

Which of these has the highest spin magnetization? number 4

Copy entry 8 word for word.
The following is a GGA-PBE calculation of a relaxed PaNbOs crystal, from the Alexandria database.

spin magnetization = 0.00 μB/f.u.
energy relative to the elements = 0.05 eV/atom
polymorph energy (0 for the lowest one) = 0 meV/atom

Cell: 4.6512 4.6512 2.9730 Å, 90.00 90.00 120.00°
Space group P3m1 (No. 156)
Symmetry-distinct sites (fractional):
1 Pa 0.0000 0.0000 0.0000
2 Nb 0.3333 0.6667 0.7278
3 Os 0.6667 0.3333 0.3089